No. 1
DFT (PBE-GGA) results for a relaxed NpBiPtO6 crystal.

Cell: 5.415 5.415 10.346 Å, 90.00 90.00 120.00°
Sites, in units of the cell vectors:
Np: 0.333 0.667 0.250
Np: 0.667 0.333 0.750
Bi: 0.000 0.000 0.000
Bi: 0.000 0.000 0.500
Pt: 0.333 0.667 0.750
Pt: 0.667 0.333 0.250
O: 0.009 0.357 0.638
O: 0.009 0.653 0.862
O: 0.347 0.357 0.862
O: 0.347 0.991 0.638
O: 0.357 0.009 0.138
O: 0.357 0.347 0.362
O: 0.643 0.653 0.638
O: 0.643 0.991 0.862
O: 0.653 0.009 0.362
O: 0.653 0.643 0.138
O: 0.991 0.347 0.138
O: 0.991 0.643 0.362

Space group: P-31c (163)
E_form (uncorrected) in meV per atom: -1630.3
N(E_F) in states/eV per cell: 11.5


No. 2
DFT (PBE-GGA) results for a relaxed CaMnIr2 crystal.

Cell: 5.035 5.035 5.035 Å, 133.13 133.13 68.46°
Sites, in units of the cell vectors:
Ca: 0.000 0.000 0.000
Mn: 0.750 0.250 0.500
Ir: 0.250 0.750 0.500
Ir: 0.500 0.500 0.000

Relative energy among the computed polymorphs in kJ per mole of atoms: 28.50
Space group: I-4m2 (119)
ΔH_f (0 K) in eV per atom: 0.172
N(E_F) in states/eV per cell: 3.5


No. 3
DFT (PBE-GGA) results for a relaxed NaTlBiTe3 crystal.

Cell: 8.245 4.887 10.669 Å, 90.00 92.84 90.00°
Sites, in units of the cell vectors:
Na: 0.026 0.250 0.153
Na: 0.974 0.750 0.847
Tl: 0.352 0.250 0.885
Tl: 0.648 0.750 0.115
Bi: 0.327 0.750 0.382
Bi: 0.673 0.250 0.618
Te: 0.091 0.250 0.451
Te: 0.247 0.750 0.081
Te: 0.446 0.750 0.662
Te: 0.554 0.250 0.338
Te: 0.753 0.250 0.919
Te: 0.909 0.750 0.549

Space group: P2_1/m (11)
E_form (uncorrected) in meV per atom: -337.8
N(E_F) in states/eV per cell: 2.4


| no. | volume (Å³/cell) | theoretical density (g cm⁻³) | total moment (μB per cell) |
| --- | --- | --- | --- |
| 1 | 262.7 | 9.3 | 4.0 |
| 2 | 66.8 | 11.9 | 3.3 |
| 3 | 429.4 | 6.3 | 0.0 |